# CaSi2 GGA-PBEsol optimized geometry
data_CaSi2
_chemical_formula_sum 'Ca2 Si4'
_cell_length_a 4.8698
_cell_length_b 4.8698
_cell_length_c 5.7520
_cell_angle_alpha 90.00
_cell_angle_beta 90.00
_cell_angle_gamma 120.00
_space_group_name_H-M_alt 'P 63/m m c'
_space_group_IT_number 194
_space_group_name_Hall '-P 6c 2c'
loop_
_atom_site_label
_atom_site_type_symbol
_atom_site_fract_x
_atom_site_fract_y
_atom_site_fract_z
Ca1 Ca 0.3333 0.6667 0.2500
Si1 Si 0.0000 0.0000 0.0000
Si2 Si 0.3333 0.6667 0.7500
# E_tot ... -4.43 eV per atom
# Formation energy from raw total energies ... 116 meV per atom